Record 1
A plane-wave DFT calculation with PBE-GGA was carried out for BaNa2Tl2Sn2 after structural relaxation.

Calculated values
The value obtained for the density of states at the Fermi level is 2.93 states/eV/cell. As for the formation energy from the elements: -284 meV per atom.

Cell and atoms, written as extended XYZ:
```
7
Lattice="-1.336 2.979 3.985 -4.930 0.279 1.469 -0.743 -6.198 7.715" Properties=species:S:1:pos:R:3 pbc="T T T"
Ba 0.000 0.000 0.000
Na -1.321 -3.070 5.182
Na -5.687 0.129 7.987
Tl -3.743 -0.178 5.539
Tl -3.265 -2.762 7.630
Sn -5.212 -2.443 10.069
Sn -1.796 -0.497 3.100
```


Record 2
A plane-wave DFT calculation with PBE-GGA was carried out for Ho3Er4Cd2 after structural relaxation.

Calculated values
The value obtained for the density of states at the Fermi level is 11.48 states/eV/cell. As for the formation energy from the elements: -75 meV per atom.

Cell and atoms, written as extended XYZ:
```
9
Lattice="-3.911 0.545 2.782 2.625 -5.472 4.762 4.456 6.153 0.867" Properties=species:S:1:pos:R:3 pbc="T T T"
Ho 0.838 3.438 4.698
Ho 2.332 -2.213 3.712
Ho 0.000 0.000 0.000
Er -0.796 -0.832 3.238
Er 1.217 0.146 5.877
Er 3.965 2.058 5.172
Er 1.952 1.079 2.534
Cd 1.672 4.284 1.512
Cd 1.497 -3.059 6.898
```


Record 3
A plane-wave DFT calculation with PBE-GGA was carried out for CaIn2Bi3 after structural relaxation.

Calculated values
The value obtained for the density of states at the Fermi level is 5.98 states/eV/cell. As for the formation energy from the elements: -221 meV per atom.

Cell and atoms, written as extended XYZ:
```
12
Lattice="-1.925 -6.249 0.280 5.172 -1.773 -4.022 4.375 2.414 7.479" Properties=species:S:1:pos:R:3 pbc="T T T"
Ca -0.202 -5.297 -0.788
Ca 3.449 -2.726 -2.954
In 4.461 -1.284 3.433
In 7.083 -2.055 1.417
In 0.540 -3.553 2.320
In 3.162 -4.324 0.304
Bi 2.490 -5.839 -2.815
Bi 0.757 -2.183 -0.928
Bi 6.118 -5.177 1.586
Bi 4.127 -1.201 0.135
Bi 3.496 -4.407 3.602
Bi 1.505 -0.431 2.151
```


Record 4
A plane-wave DFT calculation with PBE-GGA was carried out for Sm2YTe after structural relaxation.

Calculated values
The value obtained for the energy relative to the elements, uncorrected is -0.572 eV per atom. The value obtained for the density of states at the Fermi level is 5.28 states/eV/cell. Its energy relative to the lowest polymorph listed for this composition is 108 meV/atom.

Cell and atoms, written as extended XYZ:
```
4
Lattice="3.958 0.000 0.000 0.000 3.958 0.000 0.000 0.000 7.887" Properties=species:S:1:pos:R:3 pbc="T T T"
Y 1.979 1.979 3.944
Te 1.979 1.979 0.000
Sm 0.000 0.000 6.117
Sm 0.000 0.000 1.770
```


Copy entry 3 word for word.
A plane-wave DFT calculation with PBE-GGA was carried out for CaIn2Bi3 after structural relaxation.

Calculated values
The value obtained for the density of states at the Fermi level is 5.98 states/eV/cell. As for the formation energy from the elements: -221 meV per atom.

Cell and atoms, written as extended XYZ:
```
12
Lattice="-1.925 -6.249 0.280 5.172 -1.773 -4.022 4.375 2.414 7.479" Properties=species:S:1:pos:R:3 pbc="T T T"
Ca -0.202 -5.297 -0.788
Ca 3.449 -2.726 -2.954
In 4.461 -1.284 3.433
In 7.083 -2.055 1.417
In 0.540 -3.553 2.320
In 3.162 -4.324 0.304
Bi 2.490 -5.839 -2.815
Bi 0.757 -2.183 -0.928
Bi 6.118 -5.177 1.586
Bi 4.127 -1.201 0.135
Bi 3.496 -4.407 3.602
Bi 1.505 -0.431 2.151
```


Q: What is the formula in the second record?
A: Ho3Er4Cd2